(1)
Computed, not measured: an optimized crystal structure of BaLi2Os at the PBE-GGA level of DFT.

Cell lengths 4.769, 2.902, 6.085 Å; angles 84.93, 90.00, 90.00 degrees
Element x y z (fractional)
Li1 0.000 0.508 0.416
Os1 0.500 0.250 0.250
Li2 0.000 0.992 0.084
Ba1 0.500 0.750 0.750

## Properties
ΔE_f in eV per atom: 0.60
DOS at the Fermi energy in states/eV per atom: 0.576
Mass density in kg/m3: 6758
Space-group type: P2/m (10)
Energy above the lowest structure with this stoichiometry in eV per atom: 0.0040

=====

(2)
Computed, not measured: an optimized crystal structure of CaSCl at the PBE-GGA level of DFT.

Cell lengths 7.445, 4.443, 9.211 Å; angles 90.00, 95.37, 90.00 degrees
Element x y z (fractional)
Cl1 0.361 0.000 0.640
Cl2 0.639 0.500 0.860
S1 0.957 0.000 0.104
Ca1 0.254 0.500 0.823
S2 0.043 0.500 0.396
Ca2 0.254 0.000 0.323
S3 0.957 0.500 0.604
Ca3 0.746 0.500 0.177
Cl3 0.361 0.500 0.140
Cl4 0.639 0.000 0.360
S4 0.043 0.000 0.896
Ca4 0.746 0.000 0.677

## Properties
DOS at the Fermi energy in states/eV per atom: 0.000
Mass density in kg/m3: 2356
Space-group type: C2/m (12)
Uncorrected formation energy in eV/atom: -1.84

=====

(3)
Computed, not measured: an optimized crystal structure of La5Sm4Er4 at the PBE-GGA level of DFT.

Cell lengths 5.129, 9.645, 9.645 Å; angles 85.95, 74.58, 74.58 degrees
Element x y z (fractional)
Er1 0.766 0.389 0.079
La1 0.000 0.000 0.000
La2 0.693 0.848 0.767
La3 0.460 0.233 0.848
Sm1 0.076 0.539 0.309
Sm2 0.385 0.691 0.539
Sm3 0.924 0.461 0.691
Er2 0.155 0.079 0.611
La4 0.540 0.767 0.152
Er3 0.845 0.921 0.389
Sm4 0.615 0.309 0.461
La5 0.307 0.152 0.233
Er4 0.234 0.611 0.921

## Properties
ΔE_f in eV per atom: 0.03
DOS at the Fermi energy in states/eV per atom: 1.633
Mass density in kg/m3: 7360
Space-group type: I4/m (87)

=====

(4)
Computed, not measured: an optimized crystal structure of SrCu2SnSe4 at the PBE-GGA level of DFT.

Cell lengths 6.730, 6.528, 6.528 Å; angles 71.26, 58.97, 58.97 degrees
Element x y z (fractional)
Se1 0.912 0.503 0.128
Sn1 0.500 0.500 0.500
Sr1 0.000 0.000 0.000
Cu1 0.163 0.337 0.337
Cu2 0.837 0.663 0.663
Se2 0.543 0.497 0.872
Se3 0.457 0.128 0.503
Se4 0.088 0.872 0.497

## Properties
Mass density in kg/m3: 5135
Space-group type: I222 (23)
Uncorrected formation energy in eV/atom: -0.67